Record 1
A plane-wave DFT calculation with GGA-PBE was carried out for crystalline Na2Cd2Pd at its relaxed geometry.

Calculated values
E_form: 141 meV/atom
SG: P4/mbm, No. 127
N(E_F): 2.934 states/eV per cell
Volume: 23.000 A^3/atom
ΔE to the lowest computed polymorph: 323.9 meV per atom

Unit cell a=7.2104 b=7.2104 c=4.4240 alpha=90.00 beta=90.00 gamma=90.00
Fractional positions:
Na: 0.3603 0.8603 0.0000
Na: 0.8603 0.6397 0.0000
Na: 0.6397 0.1397 0.0000
Na: 0.1397 0.3603 0.0000
Pd: 0.0000 0.0000 0.0000
Pd: 0.5000 0.5000 0.0000
Cd: 0.1706 0.6706 0.5000
Cd: 0.6706 0.8294 0.5000
Cd: 0.8294 0.3294 0.5000
Cd: 0.3294 0.1706 0.5000

=====

Record 2
A plane-wave DFT calculation with GGA-PBE was carried out for crystalline NaCd7Pd2 at its relaxed geometry.

Calculated values
E_form: -86 meV/atom
SG: Cmmm, No. 65
N(E_F): 2.825 states/eV per cell
Volume: 27.429 A^3/atom

Unit cell a=5.3012 b=7.6294 c=7.6294 alpha=117.26 beta=90.00 gamma=90.00
Fractional positions:
Na: 0.0000 0.0000 0.0000
Cd: 0.0000 0.7039 0.2961
Cd: 0.0000 0.2961 0.7039
Cd: 0.5000 0.0680 0.3072
Cd: 0.5000 0.9320 0.6928
Cd: 0.5000 0.3072 0.0680
Cd: 0.5000 0.6928 0.9320
Cd: 0.5000 0.5000 0.5000
Pd: 0.5000 0.7077 0.2923
Pd: 0.5000 0.2923 0.7077

=====

Record 3
A plane-wave DFT calculation with GGA-PBE was carried out for crystalline Na3Cd2Pd at its relaxed geometry.

Calculated values
E_form: -147 meV/atom
SG: Cmmm, No. 65
N(E_F): 2.423 states/eV per cell
Volume: 24.386 A^3/atom
ΔE to the lowest computed polymorph: 0.0 meV per atom

Unit cell a=3.0975 b=5.3643 c=9.2051 alpha=106.94 beta=90.00 gamma=90.00
Fractional positions:
Na: 0.0000 0.6950 0.3901
Na: 0.0000 0.3050 0.6099
Na: 0.5000 0.5000 0.0000
Cd: 0.5000 0.8699 0.7398
Cd: 0.5000 0.1301 0.2602
Pd: 0.0000 0.0000 0.0000

=====

Copy entry 3 word for word.
A plane-wave DFT calculation with GGA-PBE was carried out for crystalline Na3Cd2Pd at its relaxed geometry.

Calculated values
E_form: -147 meV/atom
SG: Cmmm, No. 65
N(E_F): 2.423 states/eV per cell
Volume: 24.386 A^3/atom
ΔE to the lowest computed polymorph: 0.0 meV per atom

Unit cell a=3.0975 b=5.3643 c=9.2051 alpha=106.94 beta=90.00 gamma=90.00
Fractional positions:
Na: 0.0000 0.6950 0.3901
Na: 0.0000 0.3050 0.6099
Na: 0.5000 0.5000 0.0000
Cd: 0.5000 0.8699 0.7398
Cd: 0.5000 0.1301 0.2602
Pd: 0.0000 0.0000 0.0000

=====

- Which of these has the highest volume?
  NaCd7Pd2

=====

- The lowest volume belongs to which entry?
  Na2Cd2Pd